No. 1
A plane-wave DFT calculation with PBEsol was carried out for a relaxed structure of DyTlSe2.

Geometry as POSCAR:
```
DyTlSe2
1.0
2.048 1.182 7.611
-2.048 1.182 7.611
0.000 -2.365 7.611
Dy Tl Se
1 1 2
direct
0.000 0.000 0.000
0.500 0.500 0.500
0.264 0.264 0.264
0.736 0.736 0.736
```

Calculated values
Space group: R-3m, No. 166

No. 2
A plane-wave DFT calculation with PBEsol was carried out for a relaxed structure of DySi2.

Geometry as POSCAR:
```
DySi2
1.0
-1.946 1.946 7.352
1.946 -1.946 7.352
1.946 1.946 -7.352
Dy Si
2 4
direct
0.375 0.625 0.750
0.625 0.375 0.250
0.044 0.794 0.250
0.206 0.956 0.250
0.794 0.044 0.750
0.956 0.206 0.750
```

Calculated values
Space group: I4_1/amd, No. 141

No. 3
A plane-wave DFT calculation with PBEsol was carried out for a relaxed structure of Dy5Si3.

Geometry as POSCAR:
```
Dy5Si3
1.0
8.352 0.000 0.000
-4.176 7.233 0.000
0.000 0.000 6.257
Dy Si
10 6
direct
0.000 0.243 0.250
0.000 0.757 0.750
0.243 0.000 0.250
0.243 0.243 0.750
0.333 0.667 0.000
0.333 0.667 0.500
0.667 0.333 0.000
0.667 0.333 0.500
0.757 0.000 0.750
0.757 0.757 0.250
0.000 0.395 0.750
0.000 0.605 0.250
0.395 0.000 0.750
0.395 0.395 0.250
0.605 0.000 0.250
0.605 0.605 0.750
```

Calculated values
Space group: P6_3/mcm, No. 193

Uncorrected formation energy in eV/atom, matching the order above: -1.3557 -0.6168 -0.7169
Mass density in g/cm³, matching the order above: 7.88 6.52 7.88
Total magnetic moment in μB per cell, matching the order above: 0.0 0.0 0.0